Here is a geometry-optimized MnCdInS4 structure from the Alexandria database. Energies are from GGA-PBE.

Computed properties:
D(E_F), states/eV/cell: 3.2
Formation energy (no corrections), eV/atom: -0.5491
VASP energy, eV per atom: -4.7396

Cell and atoms, written as POSCAR:
```
MnCdInS4
1.0
7.566 0.000 0.000
3.783 6.531 -0.005
3.783 1.985 6.222
Mn Cd In S
2 2 2 8
direct
0.500 0.000 0.500 Mn
0.000 0.000 0.500 Mn
0.629 0.621 0.121 Cd
0.371 0.379 0.879 Cd
0.000 0.000 0.000 In
0.000 0.500 0.500 In
0.752 0.783 0.713 S
0.248 0.787 0.717 S
0.752 0.213 0.283 S
0.248 0.217 0.287 S
0.214 0.771 0.271 S
0.744 0.771 0.271 S
0.256 0.229 0.729 S
0.786 0.229 0.729 S
```